No. 1
A plane-wave DFT calculation with GGA-PBE was carried out for a relaxed structure of CrTc2Se2.

Its mass density is 7.62 g/cm³. The calculation puts the total energy at -67.7 eV/cell.

It has space group I4/mmm (No. 139), with a = 4.2810 Å, b = 4.2810 Å, c = 9.6473 Å, α = 90.00°, β = 90.00° and γ = 90.00°. Symmetry generates all atoms from Cr at (0.0000, 0.0000, 0.0000), Tc at (0.0000, 0.5000, 0.2500) and Se at (0.0000, 0.0000, 0.3672).

No. 2
A plane-wave DFT calculation with GGA-PBE was carried out for a relaxed structure of CrTc2Se.

Its mass density is 9.48 g/cm³. The calculation puts the total energy at -64.6 eV/cell.

It has space group I-4m2 (No. 119), with a = 3.6875 Å, b = 3.6875 Å, c = 8.4272 Å, α = 90.00°, β = 90.00° and γ = 90.00°. Symmetry generates all atoms from Cr at (0.0000, 0.0000, 0.0000), Tc at (0.0000, 0.0000, 0.5000), Tc at (0.0000, 0.5000, 0.2500) and Se at (0.0000, 0.5000, 0.7500).

Q: Look up the mass density of the second one.
A: 9.48 g/cm³

Q: Which value of mass density does entry 1 give?
A: 7.62 g/cm³

Q: Which of these has the lowest mass density?
A: CrTc2Se2